Below is La2As3Ir4Au after structural relaxation, with properties calculated at the PBE level.

Properties
**Uncorrected energy**: -6.904 eV per atom
**ΔE_f**: -0.65 eV/atom
**Size of the total moment**: 0.000 μB per atom

Unit cell a=4.240 b=4.240 c=10.784 alpha=90.00 beta=90.00 gamma=90.00
Space group P-4m2 (No. 115)
Unique sites:
La1 0.000 0.500 0.245 (multiplicity 2)
As1 0.000 0.000 0.000 (multiplicity 1)
As2 0.000 0.500 0.630 (multiplicity 2)
Ir1 0.000 0.000 0.500 (multiplicity 1)
Ir2 0.000 0.500 0.850 (multiplicity 2)
Ir3 0.500 0.500 0.500 (multiplicity 1)
Au1 0.500 0.500 0.000 (multiplicity 1)

***

Below is LaSmHo after structural relaxation, with properties calculated at the PBE level.

Properties
**Uncorrected energy**: -4.713 eV per atom
**ΔE_f**: 0.03 eV/atom
**Size of the total moment**: 0.000 μB per atom
**Energy above the lowest structure with this stoichiometry**: 0.0077 eV/atom

Unit cell a=3.649 b=3.649 c=15.349 alpha=90.00 beta=90.00 gamma=90.00
Space group I4mm (No. 107)
Unique sites:
La1 0.000 0.000 0.000 (multiplicity 2)
Sm1 0.000 0.000 0.671 (multiplicity 2)
Ho1 0.000 0.000 0.333 (multiplicity 2)

***

Below is LaBeSb2I after structural relaxation, with properties calculated at the PBE level.

Properties
**Uncorrected energy**: -2.990 eV per atom
**Size of the total moment**: 0.251 μB per atom
**Energy above the lowest structure with this stoichiometry**: 0.9248 eV/atom
**Formation energy (no corrections)**: 0.6993 eV/atom

Unit cell a=6.217 b=6.217 c=6.212 alpha=90.00 beta=90.00 gamma=90.00
Space group P4/mmm (No. 123)
Unique sites:
La1 0.000 0.000 0.000 (multiplicity 1)
Be1 0.500 0.500 0.500 (multiplicity 1)
Sb1 0.000 0.500 0.000 (multiplicity 2)
I1 0.000 0.000 0.500 (multiplicity 1)

***

Below is ThB2Os after structural relaxation, with properties calculated at the PBE level.

Properties
**Uncorrected energy**: -8.216 eV per atom
**ΔE_f**: -0.21 eV/atom
**Size of the total moment**: 0.000 μB per atom
**Energy above the lowest structure with this stoichiometry**: 0.1267 eV/atom

Unit cell a=3.7716 b=3.7716 c=14.3258 alpha=90.00 beta=90.00 gamma=120.00
Space group R-3m (No. 166, hexagonal axes)
Unique sites:
Th1 0.0000 0.0000 0.0000 (multiplicity 3)
B1 0.0000 0.0000 0.2023 (multiplicity 6)
Os1 0.0000 0.0000 0.5000 (multiplicity 3)

***

Below is KSr2YIr after structural relaxation, with properties calculated at the PBE level.

Properties
**Uncorrected energy**: -4.084 eV per atom
**ΔE_f**: -0.13 eV/atom
**Size of the total moment**: 0.000 μB per atom

Unit cell a=6.120 b=6.120 c=5.434 alpha=90.00 beta=90.00 gamma=90.00
Space group P4/mmm (No. 123)
Unique sites:
K1 0.000 0.000 0.000 (multiplicity 1)
Sr1 0.000 0.500 0.500 (multiplicity 2)
Y1 0.500 0.500 0.000 (multiplicity 1)
Ir1 0.500 0.500 0.500 (multiplicity 1)

***

Below is Dy5Er4Th after structural relaxation, with properties calculated at the PBE level.

Properties
**Uncorrected energy**: -4.651 eV per atom
**ΔE_f**: 0.22 eV/atom
**Size of the total moment**: 0.000 μB per atom
**Energy above the lowest structure with this stoichiometry**: 0.0000 eV/atom

Unit cell a=17.597 b=3.539 c=10.942 alpha=90.00 beta=102.41 gamma=90.00
Space group C2/m (No. 12)
Unique sites:
Dy1 0.000 0.000 0.000 (multiplicity 2)
Dy2 0.160 0.500 0.425 (multiplicity 4)
Dy3 0.169 0.500 0.018 (multiplicity 4)
Er1 0.023 0.500 0.759 (multiplicity 4)
Er2 0.178 0.000 0.720 (multiplicity 4)
Th1 0.000 0.000 0.500 (multiplicity 2)

***

Below is PuMg2H8Ir after structural relaxation, with properties calculated at the PBE level.

Properties
**Uncorrected energy**: -4.698 eV per atom
**Size of the total moment**: 0.524 μB per atom

Unit cell a=4.4279 b=4.4279 c=6.7008 alpha=90.00 beta=90.00 gamma=120.00
Space group P-3m1 (No. 164)
Unique sites:
Pu1 0.0000 0.0000 0.0000 (multiplicity 1)
Mg1 0.3333 0.6667 0.3422 (multiplicity 2)
H1 0.1680 0.3360 0.6689 (multiplicity 6)
H2 0.3333 0.6667 0.0569 (multiplicity 2)
Ir1 0.0000 0.0000 0.5000 (multiplicity 1)

***

Below is BaBe2Te after structural relaxation, with properties calculated at the PBE level.

Properties
**Uncorrected energy**: -2.850 eV per atom
**Size of the total moment**: 0.000 μB per atom
**Formation energy (no corrections)**: 0.2794 eV/atom

Unit cell a=4.886 b=5.503 c=7.109 alpha=90.00 beta=90.00 gamma=90.00
Space group Cmm2 (No. 35)
Unique sites:
Ba1 0.000 0.000 0.000 (multiplicity 2)
Be1 0.000 0.000 0.541 (multiplicity 2)
Be2 0.000 0.500 0.679 (multiplicity 2)
Te1 0.000 0.500 0.347 (multiplicity 2)